VASP calculation (PBE-GGA) on a relaxed CuNiMo crystal.

Calculated values
Symmetry ... I4mm, No. 107
Polymorph energy (0 for the lowest one) ... 0.0231 eV/atom
M_tot ... 0.0 μB/f.u.
E_form ... 0.06 eV/atom
Raw total energy ... -0.503 Ry per atom
D(E_F) ... 0.51 states/eV per atom
Density ... 9.40 g/cm3

Unit cell a=5.8152 b=5.8152 c=5.8152 alpha=153.69 beta=153.69 gamma=37.54
Last column: nearest neighbours and their distance in Å.
Positions (direct):
Cu1 0.0000 0.0000 0.0000  4 Ni 2.53, 4 Cu 2.65, 4 Mo 2.73
Ni1 0.3454 0.3454 0.0000  4 Cu 2.53, 4 Mo 2.61, 4 Ni 2.65
Mo1 0.6801 0.6801 0.0000  4 Ni 2.61, 4 Mo 2.65, 4 Cu 2.73